[1]
AlAgPb2S4 after structural relaxation, computed with PBE.

Values from the calculation:
Uncorrected formation energy (eV per formula unit): -4.509
Symmetry: P1
Theoretical density (g/cm³): 5.37

a = 6.0707 Å, b = 6.4678 Å, c = 6.7217 Å
α = 112.29°, β = 109.97°, γ = 103.07°
Fractional positions:
Al (0.0000, 0.0000, 0.0000)
Ag (0.2597, 0.7595, 0.5192)
Pb (0.5465, 0.5466, 0.0932)
Pb (0.7741, 0.2741, 0.5496)
S (0.1410, 0.0918, 0.7574)
S (0.2927, 0.8924, 0.2066)
S (0.6169, 0.6659, 0.7570)
S (0.9140, 0.3142, 0.2077)


[2]
LaPrGaPt after structural relaxation, computed with PBE.

Values from the calculation:
Calculated formation energy (eV/atom): -0.85
Symmetry: Amm2
Theoretical density (g/cm³): 8.66

a = 4.3151 Å, b = 6.0597 Å, c = 6.0597 Å
α = 41.23°, β = 90.00°, γ = 90.00°
Fractional positions:
La (0.0000, 0.0000, 0.0000)
Pr (0.5000, 0.7199, 0.7199)
Ga (0.0000, 0.2888, 0.2888)
Pt (0.5000, 0.4446, 0.4446)


Q: The lowest theoretical density belongs to which entry?
A: AlAgPb2S4


Q: Which of these has the highest theoretical density?
A: LaPrGaPt


Q: The lowest theoretical density belongs to which entry?
A: AlAgPb2S4


Q: Look up the theoretical density of the first one.
A: 5.37 g/cm³